LuVO3: relaxed, GGA+U.

Cell and atoms, written as extended XYZ:
```
5
Lattice="3.855 0.000 0.000 0.000 3.855 0.000 0.000 0.000 3.855" Properties=species:S:1:pos:R:3 pbc="T T T"
Lu 0.000 0.000 0.000
V 1.927 1.927 1.927
O 0.000 1.927 1.927
O 1.927 0.000 1.927
O 1.927 1.927 0.000
```

Computed properties:
raw total energy	-38.5	eV/f.u.
V	57	Å³/cell